Record 1
A geometry-optimized Ho3Cd2Pd6 structure, computed with PBE.

Calculated values
N(E_F): 0.357 states/eV/atom
mass density: 9.91 g/cm³
calculated formation energy: -68.1 kJ/mol of atoms

```
22
Lattice="-4.847 4.847 4.847 4.847 -4.847 4.847 4.847 4.847 -4.847" Properties=species:S:1:pos:R:3 pbc="T T T"
Ho 2.945 0.000 0.000
Ho 6.748 0.000 0.000
Ho 0.000 2.945 0.000
Ho 0.000 0.000 2.945
Ho 0.000 6.748 0.000
Ho 0.000 0.000 6.748
Cd 2.423 2.423 -2.423
Cd 2.423 -2.423 2.423
Cd -2.423 2.423 2.423
Cd 2.423 2.423 2.423
Pd 4.847 1.499 -1.499
Pd 4.847 -1.499 1.499
Pd 4.847 1.499 1.499
Pd 1.499 4.847 -1.499
Pd 3.348 3.348 0.000
Pd 1.499 -1.499 4.847
Pd 3.348 0.000 3.348
Pd -1.499 4.847 1.499
Pd 1.499 4.847 1.499
Pd -1.499 1.499 4.847
Pd 1.499 1.499 4.847
Pd 0.000 3.348 3.348
```

Record 2
A geometry-optimized Ho2CdPd2 structure, computed with PBE.

Calculated values
N(E_F): 1.010 states/eV/atom
mass density: 9.90 g/cm³
calculated formation energy: -78.0 kJ/mol of atoms

```
10
Lattice="7.732 0.000 0.000 0.000 7.732 0.000 0.000 0.000 3.674" Properties=species:S:1:pos:R:3 pbc="T T T"
Ho 1.316 2.550 0.000
Ho 2.550 6.416 0.000
Ho 5.182 1.316 0.000
Ho 6.416 5.182 0.000
Cd 0.000 0.000 1.837
Cd 3.866 3.866 1.837
Pd 1.003 4.869 1.837
Pd 2.864 1.003 1.837
Pd 4.869 6.730 1.837
Pd 6.730 2.864 1.837
```